Computed, not measured: a relaxed structure of CuGeTe3Au at the PBE level of DFT.

Summary:
**Crystal system**: orthorhombic
**Uncorrected energy**: -3.41 eV per atom

Lattice parameters (Å, degrees): 3.8635 15.3364 9.7549 90.00 90.00 90.00
Closest atoms and distances in Å follow each position.
Space group Cmcm (No. 63)
One atom of each set of equivalent atoms:
Cu 0.0000 0.0321 0.2500  4 Te 2.64
Ge 0.0000 0.2579 0.7500  6 Te 2.97-3.28
Te 0.0000 0.1563 0.0628  1 Cu 2.64
Te 0.0000 0.4151 0.2500  2 Cu 2.64, 2 Au 2.76
Au 0.0000 0.5000 0.0000  2 Te 2.76